Model P:
DFT (GGA-PBE) results for a relaxed LiAgSe2Br crystal.

Output
* density: 4.26 Mg/m³
* total moment: 0.0 μB per formula unit

```
5
Lattice="4.358 0.000 0.000 0.000 4.358 0.000 0.000 0.000 7.242" Properties=species:S:1:pos:R:3 pbc="T T T"
Li 0.000 0.000 0.000
Ag 2.179 2.179 3.621
Se 0.000 2.179 0.000
Se 2.179 0.000 0.000
Br 0.000 0.000 3.621
```

Model Q:
DFT (GGA-PBE) results for a relaxed LiAgSe2Br crystal.

Output
* density: 4.10 Mg/m³
* total moment: 0.2 μB per formula unit

```
5
Lattice="5.070 0.000 0.000 0.000 5.070 0.000 0.000 0.000 5.558" Properties=species:S:1:pos:R:3 pbc="T T T"
Li 0.000 0.000 0.000
Ag 2.535 2.535 2.779
Se 0.000 2.535 2.779
Se 2.535 0.000 2.779
Br 2.535 2.535 0.000
```

The structure with the least stability is model P.

Model P:
DFT (GGA-PBE) results for a relaxed MgAg2Br crystal.

Output
* density: 6.13 Mg/m³
* total moment: 0.0 μB per formula unit

```
4
Lattice="3.685 0.000 0.000 0.000 3.685 0.000 0.000 0.000 6.381" Properties=species:S:1:pos:R:3 pbc="T T T"
Mg 0.000 0.000 0.000
Ag 1.842 1.842 1.362
Ag 1.842 1.842 5.019
Br 0.000 0.000 3.190
```

Model Q:
DFT (GGA-PBE) results for a relaxed MgAg2Br crystal.

Output
* density: 6.11 Mg/m³
* total moment: 0.0 μB per formula unit

```
4
Lattice="0.000 3.517 3.517 3.517 0.000 3.517 3.517 3.517 0.000" Properties=species:S:1:pos:R:3 pbc="T T T"
Mg 0.000 0.000 0.000
Ag 3.517 3.517 3.517
Ag 5.276 5.276 5.276
Br 1.759 1.759 1.759
```

The structure with the least stability is model Q.

Model P:
DFT (GGA-PBE) results for a relaxed MgAg2Br crystal.

Output
* density: 6.01 Mg/m³
* total moment: 0.0 μB per formula unit

```
4
Lattice="-2.013 2.013 5.453 2.013 -2.013 5.453 2.013 2.013 -5.453" Properties=species:S:1:pos:R:3 pbc="T T T"
Mg 0.000 0.000 0.000
Ag 2.013 0.000 2.727
Ag 0.000 0.000 5.453
Br 0.000 2.013 2.727
```

Model Q:
DFT (GGA-PBE) results for a relaxed MgAg2Br crystal.

Output
* density: 5.72 Mg/m³
* total moment: 0.0 μB per formula unit

```
4
Lattice="3.322 0.000 0.000 0.000 3.322 0.000 0.000 0.000 8.414" Properties=species:S:1:pos:R:3 pbc="T T T"
Mg 0.000 0.000 0.000
Ag 0.000 0.000 3.453
Ag 1.661 1.661 1.838
Br 1.661 1.661 6.812
```

The structure with the least stability is model P.

Model P:
DFT (GGA-PBE) results for a relaxed MgAg2Br crystal.

Output
* density: 5.60 Mg/m³
* total moment: 0.0 μB per formula unit

```
4
Lattice="3.723 0.000 0.000 0.000 3.468 0.000 -0.034 0.000 7.343" Properties=species:S:1:pos:R:3 pbc="T T T"
Mg 0.000 0.000 0.000
Ag 1.820 1.734 5.842
Ag 3.681 0.000 4.540
Br 3.641 1.734 1.948
```

Model Q:
DFT (GGA-PBE) results for a relaxed MgAg2Br crystal.

Output
* density: 5.63 Mg/m³
* total moment: 0.0 μB per formula unit

```
4
Lattice="3.482 0.000 0.000 0.000 4.625 0.000 -1.611 0.000 5.857" Properties=species:S:1:pos:R:3 pbc="T T T"
Mg 0.000 0.000 0.000
Ag -0.624 2.312 4.737
Ag 2.495 2.312 1.121
Br -0.805 0.000 2.929
```

Model R:
DFT (GGA-PBE) results for a relaxed MgAg2Br crystal.

Output
* density: 5.85 Mg/m³
* total moment: 0.0 μB per formula unit

```
4
Lattice="0.000 3.567 3.567 3.567 0.000 3.567 3.567 3.567 0.000" Properties=species:S:1:pos:R:3 pbc="T T T"
Mg 0.000 0.000 0.000
Ag 1.784 1.784 1.784
Ag 5.351 5.351 5.351
Br 3.567 3.567 3.567
```

Model S:
DFT (GGA-PBE) results for a relaxed MgAg2Br crystal.

Output
* density: 6.11 Mg/m³
* total moment: 0.0 μB per formula unit

```
4
Lattice="1.711 0.988 8.573 -1.711 0.988 8.573 0.000 -1.976 8.573" Properties=species:S:1:pos:R:3 pbc="T T T"
Mg 0.000 0.000 0.000
Ag 0.000 0.000 6.455
Ag 0.000 0.000 19.264
Br 0.000 0.000 12.859
```

The structure with the least stability is model R.

Model P:
DFT (GGA-PBE) results for a relaxed MgAg2Br crystal.

Output
* density: 4.77 Mg/m³
* total moment: 0.0 μB per formula unit

```
4
Lattice="4.649 -1.750 0.000 4.649 1.750 0.000 -0.500 0.000 6.840" Properties=species:S:1:pos:R:3 pbc="T T T"
Mg 0.000 0.000 0.000
Ag 2.186 0.000 5.558
Ag 4.827 0.000 4.723
Br 4.701 0.000 1.928
```

Model Q:
DFT (GGA-PBE) results for a relaxed MgAg2Br crystal.

Output
* density: 5.60 Mg/m³
* total moment: 0.0 μB per formula unit

```
4
Lattice="-1.637 3.120 4.645 1.637 -3.120 4.645 1.637 3.120 -4.645" Properties=species:S:1:pos:R:3 pbc="T T T"
Mg 0.000 0.000 0.000
Ag 1.637 0.000 2.290
Ag 0.000 0.000 4.625
Br 0.000 3.120 2.614
```

Model R:
DFT (GGA-PBE) results for a relaxed MgAg2Br crystal.

Output
* density: 5.75 Mg/m³
* total moment: 0.0 μB per formula unit

```
8
Lattice="-4.037 4.037 2.836 4.037 -4.037 2.836 4.037 4.037 -2.836" Properties=species:S:1:pos:R:3 pbc="T T T"
Mg 0.000 0.000 0.000
Mg 0.000 4.037 1.418
Ag 6.055 1.984 -0.709
Ag 1.984 2.018 0.709
Ag -2.018 2.053 2.127
Ag 2.053 2.018 3.545
Br 4.037 0.000 1.418
Br 0.000 0.000 2.836
```

Model S:
DFT (GGA-PBE) results for a relaxed MgAg2Br crystal.

Output
* density: 5.98 Mg/m³
* total moment: 0.0 μB per formula unit

```
4
Lattice="-1.969 1.969 5.728 1.969 -1.969 5.728 1.969 1.969 -5.728" Properties=species:S:1:pos:R:3 pbc="T T T"
Mg 0.000 0.000 0.000
Ag 1.969 0.000 2.864
Ag 0.000 1.969 2.864
Br 0.000 0.000 5.728
```

The structure with the least stability is model R.

Model P:
DFT (GGA-PBE) results for a relaxed Mg2Ag2Br crystal.

Output
* density: 5.26 Mg/m³
* total moment: 0.0 μB per formula unit

```
10
Lattice="8.047 0.000 0.000 0.000 8.047 0.000 0.000 0.000 3.355" Properties=species:S:1:pos:R:3 pbc="T T T"
Mg 1.392 2.631 0.000
Mg 2.631 6.654 0.000
Mg 5.416 1.392 0.000
Mg 6.654 5.416 0.000
Ag 0.992 5.015 1.677
Ag 3.031 0.992 1.677
Ag 5.015 7.054 1.677
Ag 7.054 3.031 1.677
Br 0.000 0.000 1.677
Br 4.023 4.023 1.677
```

Model Q:
DFT (GGA-PBE) results for a relaxed Mg2Ag2Br crystal.

Output
* density: 5.17 Mg/m³
* total moment: 0.0 μB per formula unit

```
10
Lattice="7.975 0.000 0.000 0.000 7.975 0.000 0.000 0.000 3.475" Properties=species:S:1:pos:R:3 pbc="T T T"
Mg 1.404 2.584 0.000
Mg 2.584 6.571 0.000
Mg 5.391 1.404 0.000
Mg 6.571 5.391 0.000
Ag 0.977 4.964 1.738
Ag 3.011 0.977 1.738
Ag 4.964 6.998 1.738
Ag 6.998 3.011 1.738
Br 0.000 0.000 0.000
Br 3.987 3.987 0.000
```

The structure with the least stability is model P.

Model P:
DFT (GGA-PBE) results for a relaxed Mg2Ag2Br crystal.

Output
* density: 4.73 Mg/m³
* total moment: 0.0 μB per formula unit

```
5
Lattice="-2.227 2.227 6.088 2.227 -2.227 6.088 2.227 2.227 -6.088" Properties=species:S:1:pos:R:3 pbc="T T T"
Mg 2.227 0.000 3.044
Mg 0.000 2.227 3.044
Ag 0.000 0.000 1.404
Ag 0.000 0.000 10.773
Br 0.000 0.000 6.088
```

Model Q:
DFT (GGA-PBE) results for a relaxed Mg2Ag2Br crystal.

Output
* density: 4.74 Mg/m³
* total moment: 0.0 μB per formula unit

```
5
Lattice="-1.918 1.918 8.190 1.918 -1.918 8.190 1.918 1.918 -8.190" Properties=species:S:1:pos:R:3 pbc="T T T"
Mg 0.000 0.000 1.978
Mg 0.000 0.000 14.403
Ag 1.918 0.000 4.095
Ag 0.000 1.918 4.095
Br 0.000 0.000 8.190
```

The structure with the least stability is model P.

Model P:
DFT (GGA-PBE) results for a relaxed MgAgBr3 crystal.

Output
* density: 4.07 Mg/m³
* total moment: 0.0 μB per formula unit

```
10
Lattice="7.014 0.000 0.000 -3.507 6.075 0.000 0.000 0.000 7.114" Properties=species:S:1:pos:R:3 pbc="T T T"
Mg 0.000 4.050 0.000
Mg 3.507 2.025 0.000
Ag 0.000 0.000 1.486
Ag 0.000 0.000 5.628
Br -1.315 2.278 5.531
Br -2.192 3.796 1.583
Br 2.631 0.000 5.531
Br 1.315 2.278 1.583
Br 4.384 0.000 1.583
Br 2.192 3.796 5.531
```

Model Q:
DFT (GGA-PBE) results for a relaxed MgAgBr3 crystal.

Output
* density: 4.28 Mg/m³
* total moment: 0.0 μB per formula unit

```
5
Lattice="5.245 0.000 0.000 0.000 5.245 0.000 0.000 0.000 5.245" Properties=species:S:1:pos:R:3 pbc="T T T"
Mg 0.000 0.000 0.000
Ag 2.622 2.622 2.622
Br 0.000 0.000 2.622
Br 0.000 2.622 0.000
Br 2.622 0.000 0.000
```

Model R:
DFT (GGA-PBE) results for a relaxed MgAgBr3 crystal.

Output
* density: 3.18 Mg/m³
* total moment: 0.0 μB per formula unit

```
10
Lattice="7.129 0.000 0.000 -3.564 6.174 0.000 0.000 0.000 8.823" Properties=species:S:1:pos:R:3 pbc="T T T"
Mg 0.000 0.000 1.853
Mg 0.000 0.000 6.970
Ag 0.000 4.116 0.000
Ag 3.564 2.058 0.000
Br -1.221 2.115 7.063
Br -2.343 4.058 1.760
Br 2.442 0.000 7.063
Br 1.221 2.115 1.760
Br 4.686 0.000 1.760
Br 2.343 4.058 7.063
```

The structure with the least stability is model Q.

Model P:
DFT (GGA-PBE) results for a relaxed MgAg3Br crystal.

Output
* density: 4.90 Mg/m³
* total moment: 0.0 μB per formula unit

```
5
Lattice="5.252 0.000 0.000 0.000 5.252 0.000 0.000 0.000 5.252" Properties=species:S:1:pos:R:3 pbc="T T T"
Mg 0.000 0.000 0.000
Ag 0.000 2.626 2.626
Ag 2.626 0.000 2.626
Ag 2.626 2.626 0.000
Br 2.626 2.626 2.626
```

Model Q:
DFT (GGA-PBE) results for a relaxed MgAg3Br crystal.

Output
* density: 5.32 Mg/m³
* total moment: 0.0 μB per formula unit

```
5
Lattice="5.112 0.000 0.000 0.000 5.112 0.000 0.000 0.000 5.112" Properties=species:S:1:pos:R:3 pbc="T T T"
Mg 0.000 0.000 0.000
Ag 0.000 0.000 2.556
Ag 0.000 2.556 0.000
Ag 2.556 0.000 0.000
Br 2.556 2.556 2.556
```

The structure with the least stability is model P.

Model P:
DFT (GGA-PBE) results for a relaxed Mg2AgPBr crystal.

Output
* density: 3.41 Mg/m³
* total moment: 0.0 μB per formula unit

```
5
Lattice="5.371 0.000 0.000 0.000 5.371 0.000 0.000 0.000 4.508" Properties=species:S:1:pos:R:3 pbc="T T T"
Mg 0.000 2.685 0.000
Mg 2.685 0.000 0.000
Ag 0.000 0.000 0.000
P 0.000 0.000 2.254
Br 2.685 2.685 2.254
```

Model Q:
DFT (GGA-PBE) results for a relaxed Mg2AgPBr crystal.

Output
* density: 3.15 Mg/m³
* total moment: 0.8 μB per formula unit

```
5
Lattice="5.311 0.000 0.000 0.000 5.311 0.000 0.000 0.000 4.991" Properties=species:S:1:pos:R:3 pbc="T T T"
Mg 0.000 2.656 0.000
Mg 2.656 0.000 0.000
Ag 0.000 0.000 0.000
P 2.656 2.656 2.495
Br 0.000 0.000 2.495
```

The structure with the least stability is model Q.

Model P:
DFT (GGA-PBE) results for a relaxed Rb2MgAgBr6 crystal.

Output
* density: 4.00 Mg/m³
* total moment: 0.0 μB per formula unit

```
10
Lattice="-3.882 3.882 5.396 3.882 -3.882 5.396 3.882 3.882 -5.396" Properties=species:S:1:pos:R:3 pbc="T T T"
Rb 3.882 0.000 2.698
Rb 0.000 3.882 2.698
Mg 0.000 0.000 0.000
Ag 0.000 0.000 5.396
Br 1.880 1.880 0.000
Br 2.002 -2.002 5.396
Br 0.000 0.000 2.748
Br 0.000 0.000 8.045
Br -2.002 2.002 5.396
Br 2.002 2.002 5.396
```

Model Q:
DFT (GGA-PBE) results for a relaxed Rb2MgAgBr6 crystal.

Output
* density: 3.97 Mg/m³
* total moment: 0.3 μB per formula unit

```
20
Lattice="7.996 0.000 0.000 0.000 7.730 0.000 -7.627 0.000 10.598" Properties=species:S:1:pos:R:3 pbc="T T T"
Rb 0.056 0.221 2.604
Rb -3.757 3.644 7.903
Rb 4.126 4.086 2.695
Rb 0.313 7.509 7.994
Mg -3.813 0.000 5.299
Mg 0.000 3.865 0.000
Ag 3.998 0.000 0.000
Ag 0.184 3.865 5.299
Br -6.020 1.921 10.252
Br -2.206 1.944 4.954
Br -5.368 5.643 10.266
Br -1.555 5.952 4.967
Br -3.168 0.129 7.989
Br 0.645 3.736 2.690
Br -0.276 3.994 7.907
Br 3.537 7.601 2.608
Br 1.924 1.778 5.630
Br 5.737 2.087 0.332
Br 2.575 5.786 5.644
Br 6.389 5.809 0.345
```

The structure with the least stability is model P.